[1]
Sc3CrS: optimized geometry, PBE.

## Properties
ΔE to the lowest computed polymorph (eV per atom): 0.000
Space group: Pm-3m
Formation energy (no corrections) (eV per atom): -0.0584

The structure in POSCAR format:
```
Sc3CrS
1.0
4.7530 0.0000 0.0000
0.0000 4.7530 0.0000
0.0000 0.0000 4.7530
Sc Cr S
3 1 1
direct
0.0000 0.0000 0.5000
0.0000 0.5000 0.0000
0.5000 0.0000 0.0000
0.5000 0.5000 0.5000
0.0000 0.0000 0.0000
```

***

[2]
BaMn2AgTe4: optimized geometry, PBE.

## Properties
Space group: Cmcm
Formation energy (no corrections) (eV per atom): -0.4130

The structure in POSCAR format:
```
BaMn2AgTe4
1.0
2.2026 -6.9959 0.0000
2.2026 6.9959 0.0000
0.0000 0.0000 15.2990
Ba Mn Ag Te
2 4 2 8
direct
0.1413 0.8587 0.7500
0.8587 0.1413 0.2500
0.3751 0.6249 0.5674
0.3751 0.6249 0.9326
0.6249 0.3751 0.0674
0.6249 0.3751 0.4326
0.1556 0.8444 0.2500
0.8444 0.1556 0.7500
0.0000 0.0000 0.0000
0.0000 0.0000 0.5000
0.2575 0.7425 0.0946
0.2575 0.7425 0.4054
0.4575 0.5425 0.7500
0.5425 0.4575 0.2500
0.7425 0.2575 0.5946
0.7425 0.2575 0.9054
```

***

[3]
CuHPd3: optimized geometry, PBE.

## Properties
ΔE to the lowest computed polymorph (eV per atom): 0.024
Space group: P2_1

The structure in POSCAR format:
```
CuHPd3
1.0
4.5836 0.0000 0.0000
0.0000 5.5560 0.0000
-0.0779 0.0000 4.8327
Cu H Pd
2 2 6
direct
0.2449 0.0000 0.3403
0.7551 0.5000 0.6597
0.4661 0.5012 0.0140
0.5339 0.0012 0.9860
0.2469 0.2485 0.8329
0.2474 0.5004 0.3461
0.2468 0.7526 0.8328
0.7526 0.0004 0.6539
0.7532 0.2526 0.1672
0.7531 0.7485 0.1671
```

***

[4]
PrYAgPb: optimized geometry, PBE.

## Properties
Space group: F-43m
Energy relative to the elements (kJ/mol of formula units): -162

The structure in POSCAR format:
```
PrYAgPb
1.0
0.0000 3.8133 3.8133
3.8133 0.0000 3.8133
3.8133 3.8133 0.0000
Pr Y Ag Pb
1 1 1 1
direct
0.0000 0.0000 0.0000
0.5000 0.5000 0.5000
0.7500 0.7500 0.7500
0.2500 0.2500 0.2500
```